# CuTeIr2

CuTeIr2 after structural relaxation (GGA-PBE, Alexandria).

Cell and atoms, written as CIF:
```
data_CuTeIr2
_chemical_formula_sum 'Cu3 Te3 Ir6'
_symmetry_space_group_name_H-M 'R 3 m'
_symmetry_Int_Tables_number 160
_symmetry_space_group_name_Hall 'R 3 -2"'
_cell_length_a 2.9792
_cell_length_b 2.9792
_cell_length_c 25.9896
_cell_angle_alpha 90.00
_cell_angle_beta 90.00
_cell_angle_gamma 120.00
loop_
_atom_site_label
_atom_site_type_symbol
_atom_site_fract_x
_atom_site_fract_y
_atom_site_fract_z
Cu1 Cu 0.0000 0.0000 0.0000
Te1 Te 0.0000 0.0000 0.7570
Ir1 Ir 0.0000 0.0000 0.2572
Ir2 Ir 0.0000 0.0000 0.5101
```

## Properties
Crystal system = trigonal
Formation energy (no corrections) = 546 meV/atom

# Mn4BeBr

Mn4BeBr after structural relaxation (GGA-PBE, Alexandria).

Cell and atoms, written as CIF:
```
data_Mn4BeBr
_chemical_formula_sum 'Mn16 Be4 Br4'
_symmetry_space_group_name_H-M 'F -4 3 m'
_symmetry_Int_Tables_number 216
_symmetry_space_group_name_Hall 'F -4 2 3'
_cell_length_a 6.843
_cell_length_b 6.843
_cell_length_c 6.843
_cell_angle_alpha 90.00
_cell_angle_beta 90.00
_cell_angle_gamma 90.00
loop_
_atom_site_label
_atom_site_type_symbol
_atom_site_fract_x
_atom_site_fract_y
_atom_site_fract_z
Mn1 Mn 0.124 0.124 0.376
Be1 Be 0.250 0.250 0.750
Br1 Br 0.000 0.000 0.000
```

## Properties
Crystal system = cubic
Formation energy (no corrections) = 882 meV/atom

# Sc4Co2CuIr

Sc4Co2CuIr after structural relaxation (GGA-PBE, Alexandria).

Cell and atoms, written as CIF:
```
data_Sc4Co2CuIr
_chemical_formula_sum 'Sc12 Co6 Cu3 Ir3'
_symmetry_space_group_name_H-M 'R -3 m'
_symmetry_Int_Tables_number 166
_symmetry_space_group_name_Hall '-R 3 2"'
_cell_length_a 4.5071
_cell_length_b 4.5071
_cell_length_c 22.0973
_cell_angle_alpha 90.00
_cell_angle_beta 90.00
_cell_angle_gamma 120.00
loop_
_atom_site_label
_atom_site_type_symbol
_atom_site_fract_x
_atom_site_fract_y
_atom_site_fract_z
Sc1 Sc 0.0000 0.0000 0.1243
Sc2 Sc 0.0000 0.0000 0.3747
Co1 Co 0.0000 0.0000 0.2499
Cu1 Cu 0.0000 0.0000 0.5000
Ir1 Ir 0.0000 0.0000 0.0000
```

## Properties
Energy relative to the elements = -49 kJ per mole of atoms
Crystal system = trigonal